{"formula": "GdPaGaRe", "functional": "GGA-PBE", "state": "optimized geometry", "lattice_angstrom": [[0.000, 3.516, 3.516], [3.516, 0.000, 3.516], [3.516, 3.516, 0.000]], "species": ["Gd", "Pa", "Ga", "Re"], "fractional_positions": [[0.000, 0.000, 0.000], [0.500, 0.500, 0.500], [0.250, 0.250, 0.250], [0.750, 0.750, 0.750]], "formation_enthalpy_0k_mev_per_atom": -56, "vol_a3_per_cell": 87}